The following is a GGA-PBEsol calculation of an optimized crystal structure of TaMnHg2, from Alexandria.

Values from the calculation:
- Total DFT energy (no corrections): -5.317 eV/atom
- Fermi-level density of states: 2.7 states/eV/cell
- Energy of formation: 545 meV/atom
- Volume: 17.470 A^3/atom
- SG: F-43m

Cell lengths 4.623, 4.623, 4.623 Å; angles 60.00, 60.00, 60.00 degrees
Fractional coordinates of all 4 atoms:
Hg 0.750 0.750 0.750
Hg 0.000 0.000 0.000
Ta 0.250 0.250 0.250
Mn 0.500 0.500 0.500